First-principles (PBE) data for a geometry-optimized BaMnSe3 structure, as listed in Alexandria.

energy relative to the elements, uncorrected	-0.849	eV/atom
magnetization	0.002	μB per cell
mass density	5.625	g cm⁻³
E_tot	-5.16	eV/atom

Cell: 7.6930 7.6930 7.6930 Å, 50.97 50.97 50.97°
Fractional coordinates of all 10 atoms:
Mn 0.8347 0.8347 0.8347
Mn 0.1653 0.1653 0.1653
Ba 0.3870 0.3870 0.3870
Ba 0.6130 0.6130 0.6130
Se 0.4288 0.9235 0.9235
Se 0.9235 0.4288 0.9235
Se 0.0765 0.5712 0.0765
Se 0.0765 0.0765 0.5712
Se 0.9235 0.9235 0.4288
Se 0.5712 0.0765 0.0765